# 1
First-principles (PBE-GGA) data for a geometry-optimized EuHgPd structure, as listed in the Alexandria database.

abc: 3.729 3.729 10.112
angles: 90.00 90.00 90.00
Positions (direct):
Eu (0.000, 0.000, 0.000)
Eu (0.500, 0.500, 0.500)
Hg (0.000, 0.000, 0.690)
Hg (0.500, 0.500, 0.190)
Pd (0.000, 0.000, 0.329)
Pd (0.500, 0.500, 0.829)

Results
As for the volume: 23.43 Å³/atom. Its uncorrected energy is -34.561 eV/cell. As for the energy of formation: -504 meV/atom. Its space-group type is No. 107. The magnetization comes out at 14.06 Bohr magnetons per cell. Its crystal system is tetragonal.


# 2
First-principles (PBE-GGA) data for a geometry-optimized EuHgPd2 structure, as listed in the Alexandria database.

abc: 3.612 3.612 6.389
angles: 90.00 90.00 90.00
Positions (direct):
Eu (0.000, 0.000, 0.000)
Hg (0.000, 0.000, 0.500)
Pd (0.500, 0.500, 0.276)
Pd (0.500, 0.500, 0.724)

Results
As for the volume: 20.83 Å³/atom. Its uncorrected energy is -22.573 eV/cell. As for the energy of formation: -403 meV/atom. Its space-group type is No. 123. The magnetization comes out at 6.95 Bohr magnetons per cell. Its crystal system is tetragonal.


# 3
First-principles (PBE-GGA) data for a geometry-optimized EuHgPd structure, as listed in the Alexandria database.

abc: 4.771 4.771 3.780
angles: 90.00 90.00 120.00
Positions (direct):
Eu (0.000, 0.000, 0.000)
Hg (0.333, 0.667, 0.500)
Pd (0.667, 0.333, 0.500)

Results
As for the volume: 24.84 Å³/atom. Its uncorrected energy is -17.493 eV/cell. As for the energy of formation: -575 meV/atom. Its space-group type is No. 187. The magnetization comes out at 7.15 Bohr magnetons per cell. Its crystal system is hexagonal.


# 4
First-principles (PBE-GGA) data for a geometry-optimized Eu3HgPd structure, as listed in the Alexandria database.

abc: 5.702 5.702 5.702
angles: 90.00 90.00 90.00
Positions (direct):
Eu (0.000, 0.000, 0.500)
Eu (0.000, 0.500, 0.000)
Eu (0.500, 0.000, 0.000)
Hg (0.500, 0.500, 0.500)
Pd (0.000, 0.000, 0.000)

Results
As for the volume: 37.08 Å³/atom. Its uncorrected energy is -37.904 eV/cell. As for the energy of formation: -317 meV/atom. Its space-group type is No. 221. The magnetization comes out at 21.71 Bohr magnetons per cell. Its crystal system is cubic.


# 5
First-principles (PBE-GGA) data for a geometry-optimized EuHgPd structure, as listed in the Alexandria database.

abc: 6.852 6.852 6.852
angles: 90.00 90.00 90.00
Positions (direct):
Eu (0.000, 0.000, 0.000)
Eu (0.000, 0.500, 0.500)
Eu (0.500, 0.000, 0.500)
Eu (0.500, 0.500, 0.000)
Hg (0.000, 0.000, 0.500)
Hg (0.000, 0.500, 0.000)
Hg (0.500, 0.000, 0.000)
Hg (0.500, 0.500, 0.500)
Pd (0.250, 0.250, 0.250)
Pd (0.250, 0.750, 0.750)
Pd (0.750, 0.250, 0.750)
Pd (0.750, 0.750, 0.250)

Results
As for the volume: 26.81 Å³/atom. Its uncorrected energy is -69.481 eV/cell. As for the energy of formation: -534 meV/atom. Its space-group type is No. 216. The magnetization comes out at 28.51 Bohr magnetons per cell. Its crystal system is cubic.


# 6
First-principles (PBE-GGA) data for a geometry-optimized EuHg2Pd structure, as listed in the Alexandria database.

abc: 3.677 3.677 6.851
angles: 90.00 90.00 90.00
Positions (direct):
Eu (0.000, 0.000, 0.000)
Hg (0.500, 0.500, 0.288)
Hg (0.500, 0.500, 0.712)
Pd (0.000, 0.000, 0.500)

Results
As for the volume: 23.15 Å³/atom. Its uncorrected energy is -17.635 eV/cell. As for the energy of formation: -391 meV/atom. Its space-group type is No. 123. The magnetization comes out at 7.01 Bohr magnetons per cell. Its crystal system is tetragonal.